Density functional theory data (PBE) for a relaxed Tb3Pm2Tm4 crystal.

```
Tb3Pm2Tm4
1.0
8.139 -5.762 0.000
8.139 5.762 0.000
-0.658 0.000 6.058
Tb Pm Tm
6 4 8
direct
0.097 0.903 0.750
0.238 0.433 0.900
0.433 0.238 0.400
0.567 0.762 0.600
0.762 0.567 0.100
0.903 0.097 0.250
0.020 0.732 0.177
0.268 0.980 0.323
0.732 0.020 0.677
0.980 0.268 0.823
0.079 0.355 0.349
0.314 0.594 0.484
0.355 0.079 0.849
0.406 0.686 0.016
0.594 0.314 0.984
0.645 0.921 0.151
0.686 0.406 0.516
0.921 0.645 0.651
```

Values from the calculation:
Relative energy among the computed polymorphs   77.5 meV per atom
Formation energy from the elements   0.0985 eV per atom

Density functional theory data (PBE) for a relaxed Tb6PmTm6 crystal.

```
Tb6PmTm6
1.0
6.628 0.000 0.000
-3.314 5.740 0.000
0.000 0.000 11.317
Tb Pm Tm
6 1 6
direct
0.000 0.000 0.154
0.000 0.000 0.846
0.333 0.667 0.000
0.333 0.667 0.500
0.667 0.333 0.000
0.667 0.333 0.500
0.000 0.000 0.500
0.000 0.500 0.256
0.000 0.500 0.744
0.500 0.000 0.256
0.500 0.000 0.744
0.500 0.500 0.256
0.500 0.500 0.744
```

Values from the calculation:
Formation energy from the elements   0.2694 eV per atom

Density functional theory data (PBE) for a relaxed Tb5Pm2Tm3 crystal.

```
Tb5Pm2Tm3
1.0
11.340 -4.668 0.000
11.340 4.668 0.000
-2.021 0.000 6.463
Tb Pm Tm
10 4 6
direct
0.001 0.999 0.750
0.034 0.216 0.125
0.216 0.034 0.625
0.250 0.250 0.000
0.250 0.250 0.500
0.750 0.750 0.000
0.750 0.750 0.500
0.784 0.966 0.375
0.966 0.784 0.875
0.999 0.001 0.250
0.275 0.477 0.876
0.477 0.275 0.376
0.523 0.725 0.624
0.725 0.523 0.124
0.128 0.626 0.377
0.374 0.872 0.123
0.500 0.500 0.250
0.500 0.500 0.750
0.626 0.128 0.877
0.872 0.374 0.623
```

Values from the calculation:
Relative energy among the computed polymorphs   211.2 meV per atom
Formation energy from the elements   0.4079 eV per atom